i) Density functional theory data (PBE-GGA) for a geometry-optimized TlAsPtCl structure.

Geometry as POSCAR:
```
TlAsPtCl
1.0
3.5671 0.0000 0.0000
0.0746 5.7231 0.0000
1.6646 2.3153 5.1337
Tl As Pt Cl
1 1 1 1
Cartesian
0.0000 0.0000 0.0000
3.4560 5.1965 3.2718
1.6767 5.1664 4.8271
3.4619 2.8334 2.2954
```

DOS at the Fermi energy   0.200 states/eV per atom
Size of the total moment   0.00 μB per cell
V   104.81 Å³/cell
Crystal system   triclinic

ii) Density functional theory data (PBE-GGA) for a geometry-optimized TlAsPtCl structure.

Geometry as POSCAR:
```
TlAsPtCl
1.0
3.7493 0.0000 0.0000
-1.8714 3.2548 0.0000
-0.0104 -2.1457 8.2513
Tl As Pt Cl
1 1 1 1
Cartesian
0.0000 0.0000 0.0000
1.8752 1.0823 2.5220
0.0009 2.1690 3.6362
1.8630 -1.0590 6.1685
```

DOS at the Fermi energy   0.117 states/eV per atom
Size of the total moment   0.00 μB per cell
V   100.69 Å³/cell
Crystal system   triclinic

Stability check: which of them is most stable? ii).

i) Density functional theory data (PBE-GGA) for a geometry-optimized TlAsPtCl structure.

Geometry as POSCAR:
```
TlAsPtCl
1.0
3.2871 -1.8832 0.0000
3.2871 1.8832 0.0000
-0.0578 0.0000 8.1659
Tl As Pt Cl
1 1 1 1
Cartesian
0.0000 0.0000 0.0000
2.1857 0.0000 2.4923
4.3687 0.0000 3.5822
4.3318 0.0000 6.1056
```

DOS at the Fermi energy   0.320 states/eV per atom
Size of the total moment   0.00 μB per cell
V   101.10 Å³/cell
Crystal system   monoclinic

ii) Density functional theory data (PBE-GGA) for a geometry-optimized TlAsPtCl structure.

Geometry as POSCAR:
```
TlAsPtCl
1.0
8.9335 -1.6736 0.0000
8.9335 1.6736 0.0000
-0.5618 0.0000 3.3000
Tl As Pt Cl
1 1 1 1
Cartesian
0.0000 0.0000 0.0000
4.7344 0.0000 1.0227
14.4390 0.0000 2.8548
10.3527 0.0000 1.9419
```

DOS at the Fermi energy   0.319 states/eV per atom
Size of the total moment   0.00 μB per cell
V   98.68 Å³/cell
Crystal system   monoclinic

Stability check: which of them is most stable? i).

i) Density functional theory data (PBE-GGA) for a geometry-optimized TlAsPtCl structure.

Geometry as POSCAR:
```
TlAsPtCl
1.0
5.2235 0.0000 0.0000
0.0000 3.9031 0.0000
-0.2177 0.0000 5.4758
Tl As Pt Cl
1 1 1 1
Cartesian
0.0000 0.0000 0.0000
3.2566 1.9515 2.6134
4.5986 0.0000 2.7118
2.5418 1.9515 0.2157
```

DOS at the Fermi energy   0.310 states/eV per atom
Size of the total moment   0.00 μB per cell
V   111.64 Å³/cell
Crystal system   monoclinic

ii) Density functional theory data (PBE-GGA) for a geometry-optimized TlAsPtCl structure.

Geometry as POSCAR:
```
TlAsPtCl
1.0
3.4763 0.0000 0.0000
0.0000 3.0840 4.7655
0.0000 -3.0840 4.7655
Tl As Pt Cl
1 1 1 1
Cartesian
0.0000 0.0000 0.0000
1.7382 0.0000 3.0584
0.0000 0.0000 4.6644
1.7382 0.0000 6.5896
```

DOS at the Fermi energy   0.562 states/eV per atom
Size of the total moment   0.06 μB per cell
V   102.18 Å³/cell
Crystal system   orthorhombic

Stability check: which of them is most stable? i).

i) Density functional theory data (PBE-GGA) for a geometry-optimized TlAsPtCl structure.

Geometry as POSCAR:
```
TlAsPtCl
1.0
3.7220 0.0000 0.0000
1.8606 3.2236 0.0000
1.8311 1.0390 8.8056
Tl As Pt Cl
1 1 1 1
Cartesian
0.0000 0.0000 0.0000
1.8304 1.0359 4.0385
5.5511 3.1841 2.8876
3.6925 2.1148 6.9217
```

DOS at the Fermi energy   0.333 states/eV per atom
Size of the total moment   0.00 μB per cell
V   105.65 Å³/cell
Crystal system   triclinic

ii) Density functional theory data (PBE-GGA) for a geometry-optimized TlAsPtCl structure.

Geometry as POSCAR:
```
TlAsPtCl
1.0
3.5745 0.0000 0.0000
1.2284 5.4356 0.0000
1.3064 1.9354 6.4282
Tl As Pt Cl
1 1 1 1
Cartesian
0.0000 0.0000 0.0000
3.7009 4.6473 6.3038
1.9108 4.8074 4.6976
3.7055 5.0418 2.9560
```

DOS at the Fermi energy   0.229 states/eV per atom
Size of the total moment   0.00 μB per cell
V   124.90 Å³/cell
Crystal system   triclinic

Stability check: which of them is most stable? i).

i) Density functional theory data (PBE-GGA) for a geometry-optimized Pu3As2Cl structure.

Geometry as POSCAR:
```
Pu3As2Cl
1.0
-2.0857 2.9200 6.1650
2.0857 -2.9200 6.1650
2.0857 2.9200 -6.1650
Pu As Cl
3 2 1
Cartesian
0.0000 0.0000 0.0000
0.0000 0.0000 4.0777
0.0000 0.0000 8.2524
2.0857 0.0000 2.0436
0.0000 2.9200 4.1214
0.0000 2.9200 0.0000
```

DOS at the Fermi energy   4.844 states/eV per atom
Size of the total moment   16.76 μB per cell
V   150.19 Å³/cell
Crystal system   orthorhombic

ii) Density functional theory data (PBE-GGA) for a geometry-optimized Pu3As2Cl structure.

Geometry as POSCAR:
```
Pu3As2Cl
1.0
4.1452 0.0000 0.0000
-2.0726 3.5899 0.0000
0.0000 0.0000 20.5921
Pu As Cl
6 4 2
Cartesian
0.0000 0.0000 0.0000
0.0000 0.0000 10.2960
0.0000 2.3932 3.3129
0.0000 2.3932 6.9831
2.0726 1.1966 13.6089
2.0726 1.1966 17.2792
0.0000 2.3932 12.0221
0.0000 2.3932 18.8660
2.0726 1.1966 1.7260
2.0726 1.1966 8.5700
0.0000 0.0000 5.1480
0.0000 0.0000 15.4441
```

DOS at the Fermi energy   4.768 states/eV per atom
Size of the total moment   33.74 μB per cell
V   306.42 Å³/cell
Crystal system   hexagonal

Stability check: which of them is most stable? i).

i) Density functional theory data (PBE-GGA) for a geometry-optimized Rb2AsCl7 structure.

Geometry as POSCAR:
```
Rb2AsCl7
1.0
0.0000 5.3547 5.3547
5.3547 0.0000 5.3547
5.3547 5.3547 0.0000
Rb As Cl
2 1 7
Cartesian
2.6773 2.6773 2.6773
8.0320 8.0320 8.0320
0.0000 0.0000 0.0000
5.3547 5.3547 2.3484
5.3547 2.3484 5.3547
8.3609 5.3547 5.3547
5.3547 5.3547 5.3547
2.3484 5.3547 5.3547
5.3547 8.3609 5.3547
5.3547 5.3547 8.3609
```

DOS at the Fermi energy   0.204 states/eV per atom
Size of the total moment   0.00 μB per cell
V   307.06 Å³/cell
Crystal system   cubic

ii) Density functional theory data (PBE-GGA) for a geometry-optimized Rb2AsCl7 structure.

Geometry as POSCAR:
```
Rb2AsCl7
1.0
-4.0654 4.0654 4.5469
4.0654 -4.0654 4.5469
4.0654 4.0654 -4.5469
Rb As Cl
2 1 7
Cartesian
4.0654 0.0000 2.2735
0.0000 4.0654 2.2735
0.0000 0.0000 0.0000
1.7242 1.7242 0.0000
2.3412 -2.3412 4.5469
0.0000 0.0000 2.2445
0.0000 0.0000 4.5469
0.0000 0.0000 6.8493
-2.3412 2.3412 4.5469
2.3412 2.3412 4.5469
```

DOS at the Fermi energy   0.000 states/eV per atom
Size of the total moment   0.00 μB per cell
V   300.59 Å³/cell
Crystal system   tetragonal

Stability check: which of them is most stable? i).

i) Density functional theory data (PBE-GGA) for a geometry-optimized Rb2AsCl4 structure.

Geometry as POSCAR:
```
Rb2AsCl4
1.0
-2.6787 2.6787 8.0378
2.6787 -2.6787 8.0378
2.6787 2.6787 -8.0378
Rb As Cl
2 1 4
Cartesian
0.0000 0.0000 2.1816
0.0000 0.0000 13.8941
0.0000 0.0000 8.0378
2.6787 0.0000 0.0000
0.0000 0.0000 5.4887
0.0000 2.6787 0.0000
0.0000 0.0000 10.5870
```

DOS at the Fermi energy   0.318 states/eV per atom
Size of the total moment   0.00 μB per cell
V   230.69 Å³/cell
Crystal system   tetragonal

ii) Density functional theory data (PBE-GGA) for a geometry-optimized Rb2AsCl4 structure.

Geometry as POSCAR:
```
Rb2AsCl4
1.0
-3.8076 3.8076 4.3690
3.8076 -3.8076 4.3690
3.8076 3.8076 -4.3690
Rb As Cl
2 1 4
Cartesian
3.8076 0.0000 2.1845
0.0000 3.8076 2.1845
0.0000 0.0000 0.0000
1.7757 1.7757 0.0000
2.0319 -2.0319 4.3690
-2.0319 2.0319 4.3690
2.0319 2.0319 4.3690
```

Size of the total moment   1.00 μB per cell
V   253.36 Å³/cell
Crystal system   tetragonal

Stability check: which of them is most stable? ii).

i) Density functional theory data (PBE-GGA) for a geometry-optimized Rb2AsCl structure.

Geometry as POSCAR:
```
Rb2AsCl
1.0
-4.4648 4.4648 4.7231
4.4648 -4.4648 4.7231
4.4648 4.4648 -4.7231
Rb As Cl
4 2 2
Cartesian
2.2324 1.9302 -1.1808
2.5346 -2.2324 5.9039
2.2324 2.5346 3.5423
1.9302 6.6973 1.1808
4.4648 0.0000 2.3616
0.0000 0.0000 4.7231
0.0000 0.0000 0.0000
0.0000 4.4648 2.3616
```

DOS at the Fermi energy   0.203 states/eV per atom
Size of the total moment   4.00 μB per cell
V   376.62 Å³/cell
Crystal system   tetragonal

ii) Density functional theory data (PBE-GGA) for a geometry-optimized Rb2AsCl structure.

Geometry as POSCAR:
```
Rb2AsCl
1.0
0.0000 4.2005 4.2005
4.2005 0.0000 4.2005
4.2005 4.2005 0.0000
Rb As Cl
2 1 1
Cartesian
2.1003 2.1003 2.1003
6.3008 6.3008 6.3008
0.0000 0.0000 0.0000
4.2005 4.2005 4.2005
```

DOS at the Fermi energy   1.654 states/eV per atom
Size of the total moment   2.00 μB per cell
V   148.23 Å³/cell
Crystal system   cubic

Stability check: which of them is most stable? i).

i) Density functional theory data (PBE-GGA) for a geometry-optimized RbAsCl4 structure.

Geometry as POSCAR:
```
RbAsCl4
1.0
8.0433 0.0000 0.0000
0.0000 11.4071 0.0000
-2.0842 0.0000 9.5396
Rb As Cl
4 4 16
Cartesian
0.7597 1.5520 3.5037
-0.2824 4.1516 8.2735
6.2415 7.2555 1.2661
5.1994 9.8551 6.0359
2.1831 5.8701 2.9616
1.1410 11.2405 7.7314
4.8181 0.1666 1.8082
3.7760 5.5370 6.5780
-0.6324 1.1278 6.6540
0.4097 4.5757 1.8843
0.8231 7.5062 3.5831
-0.2190 9.6044 8.3529
2.7472 1.2912 0.6582
1.7051 4.4124 5.4280
2.8078 6.7898 0.9427
1.7657 10.3208 5.7125
4.1934 1.0862 3.8271
3.1513 4.6173 8.5969
4.2540 6.9947 4.1116
3.2119 10.1159 8.8814
6.1782 1.8027 1.1866
5.1361 3.9009 5.9564
5.5494 6.8314 7.6553
6.5915 10.2792 2.8855
```

DOS at the Fermi energy   0.000 states/eV per atom
Size of the total moment   0.00 μB per cell
V   875.26 Å³/cell
Crystal system   monoclinic

ii) Density functional theory data (PBE-GGA) for a geometry-optimized RbAsCl4 structure.

Geometry as POSCAR:
```
RbAsCl4
1.0
2.5456 -10.3759 0.0000
2.5456 10.3759 0.0000
0.0000 0.0000 7.4059
Rb As Cl
2 2 8
Cartesian
2.5456 8.6654 5.5545
2.5456 -8.6654 1.8515
2.5456 2.1114 5.5545
2.5456 -2.1114 1.8515
2.5456 8.5531 1.8515
2.5456 3.6289 3.8496
2.5456 3.6289 7.2593
2.5456 0.0000 0.0000
2.5456 0.0000 3.7030
2.5456 -3.6289 0.1466
2.5456 -3.6289 3.5563
2.5456 -8.5531 5.5545
```

Size of the total moment   0.00 μB per cell
V   391.22 Å³/cell
Crystal system   orthorhombic

Stability check: which of them is most stable? i).

i) Density functional theory data (PBE-GGA) for a geometry-optimized Rb3AsCl6 structure.

Geometry as POSCAR:
```
Rb3AsCl6
1.0
7.6753 0.0000 0.0000
0.0000 8.0447 0.0000
-7.5525 0.0000 11.0055
Rb As Cl
6 2 12
Cartesian
0.0000 0.0000 0.0000
-3.7762 4.0224 5.5027
-3.5696 0.5521 8.2679
0.2066 3.4702 2.7651
-0.0838 4.5745 8.2404
3.6925 7.4926 2.7376
0.0614 0.0000 5.5027
3.8377 4.0224 0.0000
-0.7758 0.2946 3.1332
-4.5520 3.7278 8.6360
1.7976 5.4063 0.5596
-1.9787 6.6608 6.0624
2.6003 1.9050 0.6720
-1.1759 2.1173 6.1747
1.2988 5.9274 4.8307
-2.4775 6.1397 10.3335
2.1015 1.3840 4.9431
-1.6747 2.6384 10.4458
4.6749 4.3169 2.3695
0.8986 7.7502 7.8723
```

DOS at the Fermi energy   0.000 states/eV per atom
Size of the total moment   0.00 μB per cell
V   679.54 Å³/cell
Crystal system   monoclinic

ii) Density functional theory data (PBE-GGA) for a geometry-optimized Rb3AsCl6 structure.

Geometry as POSCAR:
```
Rb3AsCl6
1.0
0.0000 5.6095 5.6095
5.6095 0.0000 5.6095
5.6095 5.6095 0.0000
Rb As Cl
3 1 6
Cartesian
0.0000 0.0000 0.0000
2.8047 2.8047 2.8047
8.4142 8.4142 8.4142
5.6095 5.6095 5.6095
5.6095 5.6095 3.0989
5.6095 3.0989 5.6095
8.1201 5.6095 5.6095
3.0989 5.6095 5.6095
5.6095 8.1201 5.6095
5.6095 5.6095 8.1201
```

DOS at the Fermi energy   0.000 states/eV per atom
Size of the total moment   0.00 μB per cell
V   353.02 Å³/cell
Crystal system   cubic

Stability check: which of them is most stable? i).

i) Density functional theory data (PBE-GGA) for a geometry-optimized Rb2ScAsCl structure.

Geometry as POSCAR:
```
Rb2ScAsCl
1.0
5.9240 0.0000 0.0000
0.0000 5.9240 0.0000
0.0000 0.0000 5.1204
Rb Sc As Cl
2 1 1 1
Cartesian
0.0000 2.9620 0.0000
2.9620 0.0000 0.0000
0.0000 0.0000 2.5602
2.9620 2.9620 2.5602
0.0000 0.0000 0.0000
```

DOS at the Fermi energy   0.865 states/eV per atom
Size of the total moment   0.98 μB per cell
V   179.70 Å³/cell
Crystal system   tetragonal

ii) Density functional theory data (PBE-GGA) for a geometry-optimized Rb2ScAsCl structure.

Geometry as POSCAR:
```
Rb2ScAsCl
1.0
6.8114 0.0000 0.0000
0.0000 6.8114 0.0000
0.0000 0.0000 5.0597
Rb Sc As Cl
2 1 1 1
Cartesian
0.0000 3.4057 0.0000
3.4057 0.0000 0.0000
0.0000 0.0000 2.5299
0.0000 0.0000 0.0000
3.4057 3.4057 2.5299
```

DOS at the Fermi energy   0.060 states/eV per atom
Size of the total moment   1.00 μB per cell
V   234.74 Å³/cell
Crystal system   tetragonal

Stability check: which of them is most stable? ii).

i) Density functional theory data (PBE-GGA) for a geometry-optimized RbAs2SeCl structure.

Geometry as POSCAR:
```
RbAs2SeCl
1.0
5.1567 0.0000 0.0000
0.0000 5.1567 0.0000
0.0000 0.0000 5.4371
Rb As Se Cl
1 2 1 1
Cartesian
0.0000 0.0000 0.0000
0.0000 2.5783 2.7185
2.5783 0.0000 2.7185
2.5783 2.5783 0.0000
2.5783 2.5783 2.7185
```

DOS at the Fermi energy   0.639 states/eV per atom
Size of the total moment   1.34 μB per cell
V   144.58 Å³/cell
Crystal system   tetragonal

ii) Density functional theory data (PBE-GGA) for a geometry-optimized RbAs2SeCl structure.

Geometry as POSCAR:
```
RbAs2SeCl
1.0
7.1407 0.0000 0.0000
0.0000 7.1407 0.0000
0.0000 0.0000 6.6434
Rb As Se Cl
1 2 1 1
Cartesian
0.0000 0.0000 0.0000
0.0000 3.5704 0.0000
3.5704 0.0000 0.0000
0.0000 0.0000 3.3217
3.5704 3.5704 3.3217
```

DOS at the Fermi energy   2.248 states/eV per atom
Size of the total moment   3.99 μB per cell
V   338.75 Å³/cell
Crystal system   tetragonal

Stability check: which of them is most stable? i).